Here is a geometry-optimized MgInPb2 structure from Alexandria. Energies are from PBE.

Output
ΔH_f (0 K)   0.00 eV/atom
Crystal system   trigonal
Space-group type   R-3m
E_tot   -2.94 eV/atom

a b c (Å): 11.640 11.640 11.640
angles (deg): 16.73 16.73 16.73
Fractional coordinates of all 4 atoms:
1 Pb 0.004 0.004 0.004
2 Pb 0.496 0.496 0.496
3 Mg 0.750 0.750 0.750
4 In 0.250 0.250 0.250